(1)
VASP calculation (PBE) on CaScReHg2 after structural relaxation.

Symmetry: P4/mmm (123)
M_tot, μB per formula unit: 0.0
ΔH_f (0 K), eV/atom: 0.308
V, Å³/cell: 137.62

a = 5.3694 Å, b = 5.3694 Å, c = 4.7732 Å
α = 90.00°, β = 90.00°, γ = 90.00°
Sites, in units of the cell vectors:
Ca1 0.0000 0.0000 0.0000
Sc1 0.5000 0.5000 0.0000
Re1 0.5000 0.5000 0.5000
Hg1 0.0000 0.5000 0.5000
Hg2 0.5000 0.0000 0.5000



(2)
VASP calculation (PBE) on CaReTc2Hg after structural relaxation.

Symmetry: P4/mmm (123)
M_tot, μB per formula unit: 5.9
ΔH_f (0 K), eV/atom: 2.272
V, Å³/cell: 129.21

a = 5.0665 Å, b = 5.0665 Å, c = 5.0336 Å
α = 90.00°, β = 90.00°, γ = 90.00°
Sites, in units of the cell vectors:
Ca1 0.0000 0.0000 0.0000
Re1 0.5000 0.5000 0.0000
Tc1 0.0000 0.5000 0.5000
Tc2 0.5000 0.0000 0.5000
Hg1 0.5000 0.5000 0.5000